(1)
CuTc3Ni: relaxed, PBE.

Geometry as POSCAR:
```
CuTc3Ni
1.0
4.395 0.000 0.000
0.000 4.395 0.000
0.000 0.000 4.395
Ni Tc Cu
1 3 1
direct
0.000 0.000 0.000
0.000 0.500 0.000
0.000 0.000 0.500
0.500 0.000 0.000
0.500 0.500 0.500
```

Output
Energy above the lowest structure with this stoichiometry ... 0.000 eV/atom
ΔH_f (0 K) ... 1.619 eV/atom
Space group ... Pm-3m (221)
Calculated total energy ... -32.881 eV per cell

---

(2)
HoLuMnTl: relaxed, PBE.

Geometry as POSCAR:
```
HoLuMnTl
1.0
-1.471 1.336 -4.753
-3.611 -2.742 -2.445
-4.677 2.014 -0.778
Tl Lu Ho Mn
1 1 1 1
direct
0.000 0.000 0.000
0.750 0.750 0.750
0.250 0.250 0.250
0.500 0.500 0.500
```

Output
ΔH_f (0 K) ... -0.009 eV/atom
Space group ... F-43m (216)
Calculated total energy ... -20.669 eV per cell

---

(3)
CsHg2As: relaxed, PBE.

Geometry as POSCAR:
```
CsHg2As
1.0
-3.569 3.347 1.015
-3.736 0.728 -3.238
-5.931 -3.277 2.250
Cs As Hg
1 1 2
direct
0.500 0.500 0.500
0.000 0.000 0.000
0.294 0.294 0.117
0.706 0.706 0.883
```

Output
ΔH_f (0 K) ... -0.136 eV/atom
Space group ... R-3m (166)
Calculated total energy ... -6.653 eV per cell

---

(4)
K12Ca3F5: relaxed, PBE.

Geometry as POSCAR:
```
K12Ca3F5
1.0
16.529 0.000 0.000
-5.510 15.583 0.000
-5.510 -7.792 13.495
Ca F K
12 20 48
direct
0.750 0.375 0.125
0.875 0.750 0.125
0.375 0.750 0.625
0.250 0.125 0.375
0.875 0.125 0.250
0.375 0.625 0.250
0.625 0.375 0.750
0.125 0.875 0.750
0.750 0.875 0.625
0.625 0.250 0.375
0.125 0.250 0.875
0.250 0.625 0.875
0.125 0.375 0.250
0.000 0.500 0.000
0.000 0.000 0.000
0.375 0.250 0.125
0.500 0.000 0.500
0.500 0.500 0.000
0.125 0.750 0.375
0.750 0.125 0.875
0.750 0.625 0.375
0.375 0.125 0.750
0.625 0.875 0.250
0.500 0.500 0.500
0.500 0.000 0.000
0.000 0.000 0.500
0.250 0.375 0.625
0.250 0.875 0.125
0.000 0.500 0.500
0.875 0.250 0.625
0.625 0.750 0.875
0.875 0.625 0.750
0.676 0.093 0.984
0.308 0.484 0.391
0.016 0.407 0.324
0.484 0.176 0.093
0.583 0.676 0.692
0.016 0.609 0.192
0.308 0.824 0.417
0.109 0.917 0.093
0.609 0.016 0.692
0.676 0.583 0.192
0.824 0.516 0.407
0.808 0.891 0.984
0.093 0.676 0.484
0.407 0.391 0.083
0.083 0.891 0.407
0.417 0.093 0.609
0.083 0.192 0.176
0.516 0.692 0.109
0.808 0.917 0.324
0.093 0.417 0.109
0.407 0.016 0.824
0.609 0.593 0.417
0.891 0.808 0.484
0.824 0.308 0.917
0.391 0.407 0.583
0.109 0.192 0.516
0.176 0.692 0.083
0.192 0.083 0.676
0.593 0.984 0.176
0.907 0.583 0.891
0.484 0.308 0.891
0.583 0.907 0.391
0.917 0.808 0.824
0.917 0.109 0.593
0.907 0.324 0.516
0.192 0.109 0.016
0.593 0.609 0.917
0.391 0.984 0.308
0.324 0.417 0.808
0.176 0.484 0.593
0.891 0.083 0.907
0.692 0.176 0.583
0.516 0.824 0.907
0.984 0.391 0.808
0.417 0.324 0.308
0.984 0.593 0.676
0.692 0.516 0.609
0.324 0.907 0.016
```

Output
Formation energy from raw total energies ... -1.09 eV/atom
Space group ... Ia-3d (230)
Calculated total energy ... -201.137 eV per cell

---

(5)
MoOsBr2: relaxed, PBE.

Geometry as POSCAR:
```
MoOsBr2
1.0
-2.821 -3.520 0.630
-2.433 -0.311 3.838
-4.507 0.648 -0.102
Mo Os Br
1 1 2
direct
0.000 0.000 0.000
0.500 0.500 0.500
0.250 0.250 0.250
0.750 0.750 0.750
```

Output
Energy above the lowest structure with this stoichiometry ... 1.238 eV/atom
Formation energy from raw total energies ... 1.41 eV/atom
Space group ... Fm-3m (225)
Calculated total energy ... -19.756 eV per cell

---

(6)
MgTa3Si: relaxed, PBE.

Geometry as POSCAR:
```
MgTa3Si
1.0
4.697 0.000 0.000
0.000 4.697 0.000
0.000 0.000 4.697
Si Mg Ta
1 1 3
direct
0.000 0.000 0.000
0.500 0.500 0.500
0.000 0.500 0.000
0.000 0.000 0.500
0.500 0.000 0.000
```

Output
Energy above the lowest structure with this stoichiometry ... 0.000 eV/atom
Formation energy from raw total energies ... 0.73 eV/atom
Space group ... Pm-3m (221)
Calculated total energy ... -38.902 eV per cell

---

(7)
BeFeTe3: relaxed, PBE.

Geometry as POSCAR:
```
BeFeTe3
1.0
-2.543 -3.453 -2.732
-0.482 -2.917 4.136
-4.377 2.327 1.131
Be Te Fe
1 3 1
direct
0.500 0.500 0.500
0.000 0.500 0.000
0.000 0.000 0.500
0.500 0.000 0.000
0.000 0.000 0.000
```

Output
Formation energy from raw total energies ... 0.86 eV/atom
Space group ... Pm-3m (221)
Calculated total energy ... -17.334 eV per cell

---

(8)
Y2ErCu3: relaxed, PBE.

Geometry as POSCAR:
```
Y2ErCu3
1.0
-1.753 0.931 2.833
-1.088 -3.260 0.397
8.377 -2.081 5.868
Y Er Cu
2 1 3
direct
0.500 0.500 0.832
0.500 0.500 0.168
0.500 0.500 0.500
0.000 0.000 0.000
0.000 0.000 0.661
0.000 0.000 0.339
```

Output
ΔH_f (0 K) ... -0.258 eV/atom
Space group ... P4/mmm (123)
Calculated total energy ... -31.325 eV per cell